PuBeTc after structural relaxation, computed with GGA-PBE.

Computed properties:
As for the formation energy: 0.069 eV per atom.

Cell: 6.3429 6.3429 4.1616 Å, 90.00 90.00 120.00°
With the nearest neighbours (Å) after each atom.
Atoms (fractional coordinates):
Pu  0.0000  0.5748  0.0000  5 Tc 2.70-2.81
Pu  0.4252  0.4252  0.0000  5 Tc 2.70-2.81
Pu  0.5748  0.0000  0.0000  5 Tc 2.70-2.81
Be  0.0000  0.2143  0.5000  2 Be 2.35, 4 Tc 2.49-2.58
Be  0.2143  0.0000  0.5000  2 Be 2.35, 4 Tc 2.49-2.58
Be  0.7857  0.7857  0.5000  2 Be 2.35, 4 Tc 2.49-2.58
Tc  0.0000  0.0000  0.0000  6 Be 2.49, 3 Pu 2.70
Tc  0.3333  0.6667  0.5000  3 Be 2.58, 6 Pu 2.81
Tc  0.6667  0.3333  0.5000  3 Be 2.58, 6 Pu 2.81